Compound: ScP2OsCl
Source: the Alexandria database
Functional: GGA-PBE
Structure: relaxed

Values from the calculation:
Energy relative to the lowest polymorph listed for this composition, meV/atom: 0.0

a b c (Å): 4.5430 4.5430 5.0130
angles (deg): 90.00 90.00 90.00
Positions (direct):
Sc (0.5000, 0.5000, 0.5000)
P (0.0000, 0.5000, 0.0000)
P (0.5000, 0.0000, 0.0000)
Os (0.0000, 0.0000, 0.0000)
Cl (0.0000, 0.0000, 0.5000)

Compound: ScPOsCl2
Source: the Alexandria database
Functional: GGA-PBE
Structure: relaxed

Values from the calculation:
Energy relative to the lowest polymorph listed for this composition, meV/atom: 262.5

a b c (Å): 4.6987 4.6987 5.4861
angles (deg): 90.00 90.00 90.00
Last column: magnetic moment on the atom in μB.
Positions (direct):
Sc (0.0000, 0.0000, 0.0000)  0.01
P (0.0000, 0.0000, 0.5000)  0.00
Os (0.5000, 0.5000, 0.5000)  3.08
Cl (0.0000, 0.5000, 0.0000)  0.04
Cl (0.5000, 0.0000, 0.0000)  0.04

Compound: ScPOsCl2
Source: the Alexandria database
Functional: GGA-PBE
Structure: relaxed

Values from the calculation:
Energy relative to the lowest polymorph listed for this composition, meV/atom: 0.0

a b c (Å): 4.8505 4.8505 4.5594
angles (deg): 90.00 90.00 90.00
Last column: magnetic moment on the atom in μB.
Positions (direct):
Sc (0.5000, 0.5000, 0.5000)  0.67
P (0.0000, 0.0000, 0.5000)  -0.03
Os (0.0000, 0.0000, 0.0000)  0.14
Cl (0.0000, 0.5000, 0.0000)  -0.01
Cl (0.5000, 0.0000, 0.0000)  -0.01

Compound: ScP2OsCl
Source: the Alexandria database
Functional: GGA-PBE
Structure: relaxed

Values from the calculation:
Energy relative to the lowest polymorph listed for this composition, meV/atom: 786.7

a b c (Å): 5.0096 5.0096 4.6329
angles (deg): 90.00 90.00 90.00
Last column: magnetic moment on the atom in μB.
Positions (direct):
Sc (0.0000, 0.0000, 0.0000)  0.01
P (0.0000, 0.5000, 0.0000)  -0.10
P (0.5000, 0.0000, 0.0000)  -0.10
Os (0.5000, 0.5000, 0.5000)  2.69
Cl (0.0000, 0.0000, 0.5000)  0.02

Compound: SiPOsCl2
Source: the Alexandria database
Functional: GGA-PBE
Structure: relaxed

Values from the calculation:
Energy relative to the lowest polymorph listed for this composition, meV/atom: 0.0

a b c (Å): 4.8744 4.8744 4.5269
angles (deg): 90.00 90.00 90.00
Last column: magnetic moment on the atom in μB.
Positions (direct):
P (0.0000, 0.0000, 0.5000)  -0.02
Si (0.5000, 0.5000, 0.5000)  0.15
Os (0.0000, 0.0000, 0.0000)  0.06
Cl (0.0000, 0.5000, 0.0000)  0.00
Cl (0.5000, 0.0000, 0.0000)  0.00

Compound: SiP2OsCl
Source: the Alexandria database
Functional: GGA-PBE
Structure: relaxed

Values from the calculation:
Energy relative to the lowest polymorph listed for this composition, meV/atom: 484.8

a b c (Å): 4.5167 4.5167 4.2933
angles (deg): 90.00 90.00 90.00
Last column: magnetic moment on the atom in μB.
Positions (direct):
P (0.0000, 0.5000, 0.0000)  -0.05
P (0.5000, 0.0000, 0.0000)  -0.05
Si (0.0000, 0.0000, 0.0000)  -0.01
Os (0.5000, 0.5000, 0.5000)  1.73
Cl (0.0000, 0.0000, 0.5000)  0.07

Compound: SiP2OsCl
Source: the Alexandria database
Functional: GGA-PBE
Structure: relaxed

Values from the calculation:
Energy relative to the lowest polymorph listed for this composition, meV/atom: 0.0

a b c (Å): 4.5260 4.5260 5.0758
angles (deg): 90.00 90.00 90.00
Positions (direct):
P (0.0000, 0.5000, 0.0000)
P (0.5000, 0.0000, 0.0000)
Si (0.5000, 0.5000, 0.5000)
Os (0.0000, 0.0000, 0.0000)
Cl (0.0000, 0.0000, 0.5000)

Compound: SiPOsCl2
Source: the Alexandria database
Functional: GGA-PBE
Structure: relaxed

Values from the calculation:
Energy relative to the lowest polymorph listed for this composition, meV/atom: 426.9

a b c (Å): 4.4516 4.4516 4.9547
angles (deg): 90.00 90.00 90.00
Last column: magnetic moment on the atom in μB.
Positions (direct):
P (0.0000, 0.0000, 0.5000)  -0.01
Si (0.0000, 0.0000, 0.0000)  -0.01
Os (0.5000, 0.5000, 0.5000)  2.80
Cl (0.0000, 0.5000, 0.0000)  0.07
Cl (0.5000, 0.0000, 0.0000)  0.07

Compound: SnPOsCl2
Source: the Alexandria database
Functional: GGA-PBE
Structure: relaxed

Values from the calculation:
Energy relative to the lowest polymorph listed for this composition, meV/atom: 0.0

a b c (Å): 4.9277 4.9277 4.5674
angles (deg): 90.00 90.00 90.00
Positions (direct):
P (0.0000, 0.0000, 0.5000)
Os (0.0000, 0.0000, 0.0000)
Sn (0.5000, 0.5000, 0.5000)
Cl (0.0000, 0.5000, 0.0000)
Cl (0.5000, 0.0000, 0.0000)

Compound: SnPOsCl2
Source: the Alexandria database
Functional: GGA-PBE
Structure: relaxed

Values from the calculation:
Energy relative to the lowest polymorph listed for this composition, meV/atom: 982.1

a b c (Å): 5.0550 5.0550 5.3325
angles (deg): 90.00 90.00 90.00
Last column: magnetic moment on the atom in μB.
Positions (direct):
P (0.0000, 0.0000, 0.5000)  -0.02
Os (0.5000, 0.5000, 0.5000)  3.30
Sn (0.0000, 0.0000, 0.0000)  -0.01
Cl (0.0000, 0.5000, 0.0000)  0.04
Cl (0.5000, 0.0000, 0.0000)  0.04

Compound: SrP2OsCl
Source: the Alexandria database
Functional: GGA-PBE
Structure: relaxed

Values from the calculation:
Energy relative to the lowest polymorph listed for this composition, meV/atom: 2714.5

a b c (Å): 5.4332 5.2997 5.4332
angles (deg): 90.00 90.00 90.00
Positions (direct):
Sr (0.0000, 0.0000, 0.0000)
Os (0.0000, 0.5000, 0.0000)
P (0.0000, 0.0000, 0.5000)
P (0.5000, 0.0000, 0.0000)
Cl (0.5000, 0.5000, 0.5000)

Compound: SrP2OsCl
Source: the Alexandria database
Functional: GGA-PBE
Structure: relaxed

Values from the calculation:
Energy relative to the lowest polymorph listed for this composition, meV/atom: 0.0

a b c (Å): 4.5361 4.5361 5.5972
angles (deg): 90.00 90.00 90.00
Positions (direct):
Sr (0.5000, 0.5000, 0.5000)
Os (0.0000, 0.0000, 0.0000)
P (0.0000, 0.5000, 0.0000)
P (0.5000, 0.0000, 0.0000)
Cl (0.0000, 0.0000, 0.5000)

Compound: SrP2OsCl
Source: the Alexandria database
Functional: GGA-PBE
Structure: relaxed

Values from the calculation:
Energy relative to the lowest polymorph listed for this composition, meV/atom: 2074.6

a b c (Å): 5.7111 5.7111 5.2499
angles (deg): 90.00 90.00 90.00
Last column: magnetic moment on the atom in μB.
Positions (direct):
Sr (0.0000, 0.0000, 0.0000)  -0.03
Os (0.5000, 0.5000, 0.5000)  3.30
P (0.0000, 0.5000, 0.0000)  -0.43
P (0.5000, 0.0000, 0.0000)  -0.43
Cl (0.0000, 0.0000, 0.5000)  -0.04

Compound: Sr2POsCl
Source: the Alexandria database
Functional: GGA-PBE
Structure: relaxed

a b c (Å): 5.5560 4.6455 5.5560
angles (deg): 90.00 90.00 90.00
Last column: magnetic moment on the atom in μB.
Positions (direct):
Sr (0.0000, 0.0000, 0.5000)  -0.02
Sr (0.5000, 0.0000, 0.0000)  -0.02
Os (0.5000, 0.5000, 0.5000)  1.90
P (0.0000, 0.5000, 0.0000)  0.07
Cl (0.0000, 0.0000, 0.0000)  0.00

Compound: TcPOsCl2
Source: the Alexandria database
Functional: GGA-PBE
Structure: relaxed

Values from the calculation:
Energy relative to the lowest polymorph listed for this composition, meV/atom: 0.0

a b c (Å): 4.9041 4.9041 4.5159
angles (deg): 90.00 90.00 90.00
Last column: magnetic moment on the atom in μB.
Positions (direct):
P (0.0000, 0.0000, 0.5000)  -0.02
Os (0.0000, 0.0000, 0.0000)  0.06
Tc (0.5000, 0.5000, 0.5000)  3.82
Cl (0.0000, 0.5000, 0.0000)  0.05
Cl (0.5000, 0.0000, 0.0000)  0.05

Compound: TcP2OsCl
Source: the Alexandria database
Functional: GGA-PBE
Structure: relaxed

Values from the calculation:
Energy relative to the lowest polymorph listed for this composition, meV/atom: 251.9

a b c (Å): 4.5640 4.5640 4.7771
angles (deg): 90.00 90.00 90.00
Last column: magnetic moment on the atom in μB.
Positions (direct):
P (0.0000, 0.5000, 0.0000)  -0.05
P (0.5000, 0.0000, 0.0000)  -0.05
Os (0.5000, 0.5000, 0.5000)  2.69
Tc (0.0000, 0.0000, 0.0000)  0.04
Cl (0.0000, 0.0000, 0.5000)  0.11

Compound: TcP2OsCl
Source: the Alexandria database
Functional: GGA-PBE
Structure: relaxed

Values from the calculation:
Energy relative to the lowest polymorph listed for this composition, meV/atom: 0.0

a b c (Å): 4.5471 4.5471 4.9805
angles (deg): 90.00 90.00 90.00
Last column: magnetic moment on the atom in μB.
Positions (direct):
P (0.0000, 0.5000, 0.0000)  -0.07
P (0.5000, 0.0000, 0.0000)  -0.07
Os (0.0000, 0.0000, 0.0000)  -0.10
Tc (0.5000, 0.5000, 0.5000)  3.54
Cl (0.0000, 0.0000, 0.5000)  0.06

Compound: TcPOsCl2
Source: the Alexandria database
Functional: GGA-PBE
Structure: relaxed

Values from the calculation:
Energy relative to the lowest polymorph listed for this composition, meV/atom: 272.2

a b c (Å): 4.7440 4.7440 4.6995
angles (deg): 90.00 90.00 90.00
Last column: magnetic moment on the atom in μB.
Positions (direct):
P (0.0000, 0.0000, 0.5000)  -0.05
Os (0.5000, 0.5000, 0.5000)  3.16
Tc (0.0000, 0.0000, 0.0000)  0.81
Cl (0.0000, 0.5000, 0.0000)  0.13
Cl (0.5000, 0.0000, 0.0000)  0.13

Compound: TeP2OsCl
Source: the Alexandria database
Functional: GGA-PBE
Structure: relaxed

Values from the calculation:
Energy relative to the lowest polymorph listed for this composition, meV/atom: 0.0

a b c (Å): 4.6363 4.6363 4.8201
angles (deg): 90.00 90.00 90.00
Positions (direct):
P (0.0000, 0.5000, 0.0000)
P (0.5000, 0.0000, 0.0000)
Te (0.5000, 0.5000, 0.5000)
Os (0.0000, 0.0000, 0.0000)
Cl (0.0000, 0.0000, 0.5000)

Compound: TeP2OsCl
Source: the Alexandria database
Functional: GGA-PBE
Structure: relaxed

Values from the calculation:
Energy relative to the lowest polymorph listed for this composition, meV/atom: 1485.1

a b c (Å): 5.1033 5.1033 4.9436
angles (deg): 90.00 90.00 90.00
Last column: magnetic moment on the atom in μB.
Positions (direct):
P (0.0000, 0.5000, 0.0000)  -0.01
P (0.5000, 0.0000, 0.0000)  -0.01
Te (0.0000, 0.0000, 0.0000)  0.00
Os (0.5000, 0.5000, 0.5000)  3.00
Cl (0.0000, 0.0000, 0.5000)  0.05

no.,electronic total energy (eV for the cell shown)
1,-29.14
2,-24.38
3,-25.69
4,-25.21
5,-21.96
6,-22.92
7,-25.34
8,-19.82
9,-22.78
10,-17.87
11,-13.82
12,-27.39
13,-17.02
14,-19.23
15,-25.32
16,-27.44
17,-28.70
18,-23.95
19,-24.63
20,-17.20